No. 1
# HfHRh3 PBE optimized geometry
data_HfHRh3
_space_group_name_H-M_alt 'C m c m'
_space_group_IT_number 63
_space_group_name_Hall '-C 2c 2'
_cell_length_a 5.628
_cell_length_b 8.097
_cell_length_c 5.625
_cell_angle_alpha 90.00
_cell_angle_beta 90.00
_cell_angle_gamma 90.00
loop_
_atom_site_label
_atom_site_fract_x
_atom_site_fract_y
_atom_site_fract_z
Hf1 0.000 0.242 0.250
H1 0.000 0.478 0.750
Rh1 0.000 0.243 0.750
Rh2 0.249 0.000 0.000
# Spin magnetization = 0.000 μB per formula unit
# Relative energy among the computed polymorphs = 127 meV per atom
# E_tot = -152.68 eV per cell
# Density = 12.65 g/cm3

No. 2
# NaAcHgF6 PBE optimized geometry
data_NaAcHgF6
_space_group_name_H-M_alt 'P -3 1 c'
_space_group_IT_number 163
_space_group_name_Hall '-P 3 2c'
_cell_length_a 6.3750
_cell_length_b 6.3750
_cell_length_c 8.9506
_cell_angle_alpha 90.00
_cell_angle_beta 90.00
_cell_angle_gamma 120.00
loop_
_atom_site_label
_atom_site_fract_x
_atom_site_fract_y
_atom_site_fract_z
Na1 0.0000 0.0000 0.0000
Ac1 0.3333 0.6667 0.2500
Hg1 0.3333 0.6667 0.7500
F1 0.0110 0.3416 0.6240
# Spin magnetization = 0.000 μB per formula unit
# Formation energy from raw total energies = -65.7 kcal/mol of atoms
# E_tot = -85.19 eV per cell
# Density = 5.95 g/cm3

No. 3
# Ce6Pu PBE optimized geometry
data_Ce6Pu
_space_group_name_H-M_alt 'P n m a'
_space_group_IT_number 62
_space_group_name_Hall '-P 2ac 2n'
_cell_length_a 11.929
_cell_length_b 10.710
_cell_length_c 6.155
_cell_angle_alpha 90.00
_cell_angle_beta 90.00
_cell_angle_gamma 90.00
loop_
_atom_site_label
_atom_site_fract_x
_atom_site_fract_y
_atom_site_fract_z
Ce1 0.002 0.250 0.243
Ce2 0.003 0.084 0.738
Ce3 0.240 0.750 0.098
Ce4 0.247 0.594 0.577
Pu1 0.114 0.750 0.422
# Spin magnetization = 0.000 μB per formula unit
# Relative energy among the computed polymorphs = 0 meV per atom
# DFT formation energy = -0.045 eV/atom
# E_tot = -200.99 eV per cell
# Density = 9.16 g/cm3

No. 4
# YW3 PBE optimized geometry
data_YW3
_space_group_name_H-M_alt 'P 4/m m m'
_space_group_IT_number 123
_space_group_name_Hall '-P 4 2'
_cell_length_a 3.203
_cell_length_b 3.203
_cell_length_c 7.402
_cell_angle_alpha 90.00
_cell_angle_beta 90.00
_cell_angle_gamma 90.00
loop_
_atom_site_label
_atom_site_fract_x
_atom_site_fract_y
_atom_site_fract_z
Y1 0.000 0.000 0.000
W1 0.000 0.000 0.500
W2 0.500 0.500 0.296
# Spin magnetization = 0.000 μB per formula unit
# Relative energy among the computed polymorphs = 0 meV per atom
# DFT formation energy = 0.388 eV/atom
# E_tot = -43.77 eV per cell
# Density = 14.00 g/cm3

No. 5
# Tb4Cd5In PBE optimized geometry
data_Tb4Cd5In
_space_group_name_H-M_alt 'C 1 2/m 1'
_space_group_IT_number 12
_space_group_name_Hall '-C 2y'
_cell_length_a 15.736
_cell_length_b 5.180
_cell_length_c 6.496
_cell_angle_alpha 90.00
_cell_angle_beta 104.75
_cell_angle_gamma 90.00
loop_
_atom_site_label
_atom_site_fract_x
_atom_site_fract_y
_atom_site_fract_z
Tb1 0.097 0.000 0.372
Tb2 0.192 0.500 0.817
Cd1 0.000 0.500 0.000
Cd2 0.099 0.000 0.896
Cd3 0.207 0.500 0.322
In1 0.000 0.500 0.500
# Spin magnetization = 0.000 μB per formula unit
# DFT formation energy = -0.335 eV/atom
# E_tot = -58.37 eV per cell
# Density = 8.51 g/cm3

No. 6
# La3Pm8Nd2 PBE optimized geometry
data_La3Pm8Nd2
_space_group_name_H-M_alt 'C 1 2/m 1'
_space_group_IT_number 12
_space_group_name_Hall '-C 2y'
_cell_length_a 20.875
_cell_length_b 7.790
_cell_length_c 5.794
_cell_angle_alpha 90.00
_cell_angle_beta 90.06
_cell_angle_gamma 90.00
loop_
_atom_site_label
_atom_site_fract_x
_atom_site_fract_y
_atom_site_fract_z
La1 0.000 0.000 0.000
La2 0.000 0.295 0.500
Pm1 0.107 0.292 0.000
Pm2 0.135 0.000 0.499
Pm3 0.172 0.500 0.501
Nd1 0.242 0.000 0.998
# Spin magnetization = 0.000 μB per formula unit
# Relative energy among the computed polymorphs = 79 meV per atom
# DFT formation energy = 0.218 eV/atom
# E_tot = -118.97 eV per cell
# Density = 6.57 g/cm3

No. 7
# Ba2LiAg PBE optimized geometry
data_Ba2LiAg
_space_group_name_H-M_alt 'C 1 2/m 1'
_space_group_IT_number 12
_space_group_name_Hall '-C 2y'
_cell_length_a 8.411
_cell_length_b 4.795
_cell_length_c 9.508
_cell_angle_alpha 90.00
_cell_angle_beta 106.43
_cell_angle_gamma 90.00
loop_
_atom_site_label
_atom_site_fract_x
_atom_site_fract_y
_atom_site_fract_z
Ba1 0.235 0.000 0.210
Li1 0.000 0.000 0.500
Ag1 0.000 0.500 0.000
# Spin magnetization = 0.000 μB per formula unit
# Relative energy among the computed polymorphs = 141 meV per atom
# DFT formation energy = 0.001 eV/atom
# E_tot = -17.21 eV per cell
# Density = 3.52 g/cm3

No. 8
# Sr3FeN PBE optimized geometry
data_Sr3FeN
_space_group_name_H-M_alt 'P m -3 m'
_space_group_IT_number 221
_space_group_name_Hall '-P 4 2 3'
_cell_length_a 5.258
_cell_length_b 5.258
_cell_length_c 5.258
_cell_angle_alpha 90.00
_cell_angle_beta 90.00
_cell_angle_gamma 90.00
loop_
_atom_site_label
_atom_site_fract_x
_atom_site_fract_y
_atom_site_fract_z
Sr1 0.000 0.000 0.500
Fe1 0.500 0.500 0.500
N1 0.000 0.000 0.000
# Spin magnetization = 3.127 μB per formula unit
# Relative energy among the computed polymorphs = 0 meV per atom
# Formation energy from raw total energies = 3.2 kcal/mol of atoms
# E_tot = -21.15 eV per cell
# Density = 3.80 g/cm3

No. 9
# ScCoGeRu PBE optimized geometry
data_ScCoGeRu
_space_group_name_H-M_alt 'F -4 3 m'
_space_group_IT_number 216
_space_group_name_Hall 'F -4 2 3'
_cell_length_a 6.084
_cell_length_b 6.084
_cell_length_c 6.084
_cell_angle_alpha 90.00
_cell_angle_beta 90.00
_cell_angle_gamma 90.00
loop_
_atom_site_label
_atom_site_fract_x
_atom_site_fract_y
_atom_site_fract_z
Sc1 0.000 0.000 0.000
Co1 0.250 0.250 0.750
Ge1 0.000 0.000 0.500
Ru1 0.250 0.250 0.250
# Spin magnetization = 0.000 μB per formula unit
# DFT formation energy = -0.515 eV/atom
# E_tot = -117.56 eV per cell
# Density = 8.19 g/cm3

No. 10
# CaTlZn PBE optimized geometry
data_CaTlZn
_space_group_name_H-M_alt 'I 4 m m'
_space_group_IT_number 107
_space_group_name_Hall 'I 4 -2'
_cell_length_a 3.630
_cell_length_b 3.630
_cell_length_c 11.529
_cell_angle_alpha 90.00
_cell_angle_beta 90.00
_cell_angle_gamma 90.00
loop_
_atom_site_label
_atom_site_fract_x
_atom_site_fract_y
_atom_site_fract_z
Ca1 0.000 0.000 0.000
Tl1 0.000 0.000 0.305
Zn1 0.000 0.000 0.662
# Spin magnetization = 0.000 μB per formula unit
# DFT formation energy = -0.205 eV/atom
# E_tot = -12.52 eV per cell
# Density = 6.77 g/cm3

No. 11
# PrUIO4 PBE optimized geometry
data_PrUIO4
_space_group_name_H-M_alt 'C 1 2/m 1'
_space_group_IT_number 12
_space_group_name_Hall '-C 2y'
_cell_length_a 11.845
_cell_length_b 7.136
_cell_length_c 6.749
_cell_angle_alpha 90.00
_cell_angle_beta 94.64
_cell_angle_gamma 90.00
loop_
_atom_site_label
_atom_site_fract_x
_atom_site_fract_y
_atom_site_fract_z
Pr1 0.246 0.000 0.115
U1 0.118 0.500 0.352
I1 0.024 0.000 0.752
O1 0.055 0.500 0.686
O2 0.175 0.315 0.147
O3 0.244 0.000 0.479
# Spin magnetization = 0.253 μB per formula unit
# Formation energy from raw total energies = -62.4 kcal/mol of atoms
# E_tot = -225.58 eV per cell
# Density = 6.66 g/cm3

No. 12
# CaSc2P PBE optimized geometry
data_CaSc2P
_space_group_name_H-M_alt 'R -3 m'
_space_group_IT_number 166
_space_group_name_Hall '-R 3 2"'
_cell_length_a 3.7188
_cell_length_b 3.7188
_cell_length_c 26.9642
_cell_angle_alpha 90.00
_cell_angle_beta 90.00
_cell_angle_gamma 120.00
loop_
_atom_site_label
_atom_site_fract_x
_atom_site_fract_y
_atom_site_fract_z
Ca1 0.0000 0.0000 0.0000
Sc1 0.0000 0.0000 0.2189
P1 0.0000 0.0000 0.5000
# Spin magnetization = 0.000 μB per formula unit
# DFT formation energy = -0.647 eV/atom
# E_tot = -67.98 eV per cell
# Density = 2.48 g/cm3

No. 13
# TaHgTeO6 PBE optimized geometry
data_TaHgTeO6
_space_group_name_H-M_alt 'P -3 1 c'
_space_group_IT_number 163
_space_group_name_Hall '-P 3 2c'
_cell_length_a 5.4534
_cell_length_b 5.4534
_cell_length_c 9.9608
_cell_angle_alpha 90.00
_cell_angle_beta 90.00
_cell_angle_gamma 120.00
loop_
_atom_site_label
_atom_site_fract_x
_atom_site_fract_y
_atom_site_fract_z
Ta1 0.3333 0.6667 0.2500
Hg1 0.0000 0.0000 0.0000
Te1 0.3333 0.6667 0.7500
O1 0.0051 0.3777 0.1397
# Spin magnetization = 0.000 μB per formula unit
# Formation energy from raw total energies = -33.2 kcal/mol of atoms
# E_tot = -115.98 eV per cell
# Density = 7.83 g/cm3

No. 14
# SmDyAg2S4 PBE optimized geometry
data_SmDyAg2S4
_space_group_name_H-M_alt 'P 1 2/m 1'
_space_group_IT_number 10
_space_group_name_Hall '-P 2y'
_cell_length_a 6.527
_cell_length_b 4.078
_cell_length_c 7.046
_cell_angle_alpha 90.00
_cell_angle_beta 110.32
_cell_angle_gamma 90.00
loop_
_atom_site_label
_atom_site_fract_x
_atom_site_fract_y
_atom_site_fract_z
Sm1 0.000 0.000 0.000
Dy1 0.000 0.500 0.500
Ag1 0.500 0.000 0.500
Ag2 0.500 0.500 0.000
S1 0.243 0.000 0.740
S2 0.244 0.500 0.250
# Spin magnetization = 0.000 μB per formula unit
# Formation energy from raw total energies = -29.3 kcal/mol of atoms
# E_tot = -41.69 eV per cell
# Density = 6.20 g/cm3

No. 15
# NiPd2SeBr PBE optimized geometry
data_NiPd2SeBr
_space_group_name_H-M_alt 'P 4/m m m'
_space_group_IT_number 123
_space_group_name_Hall '-P 4 2'
_cell_length_a 4.958
_cell_length_b 4.958
_cell_length_c 4.198
_cell_angle_alpha 90.00
_cell_angle_beta 90.00
_cell_angle_gamma 90.00
loop_
_atom_site_label
_atom_site_fract_x
_atom_site_fract_y
_atom_site_fract_z
Ni1 0.000 0.000 0.000
Pd1 0.000 0.500 0.000
Se1 0.000 0.000 0.500
Br1 0.500 0.500 0.500
# Spin magnetization = 0.000 μB per formula unit
# Formation energy from raw total energies = 11.3 kcal/mol of atoms
# E_tot = -18.88 eV per cell
# Density = 6.92 g/cm3

No. 16
# TcP2ICl PBE optimized geometry
data_TcP2ICl
_space_group_name_H-M_alt 'P 4/m m m'
_space_group_IT_number 123
_space_group_name_Hall '-P 4 2'
_cell_length_a 4.681
_cell_length_b 4.681
_cell_length_c 4.897
_cell_angle_alpha 90.00
_cell_angle_beta 90.00
_cell_angle_gamma 90.00
loop_
_atom_site_label
_atom_site_fract_x
_atom_site_fract_y
_atom_site_fract_z
Tc1 0.000 0.000 0.000
P1 0.000 0.500 0.000
I1 0.500 0.500 0.500
Cl1 0.000 0.000 0.500
# Spin magnetization = 0.000 μB per formula unit
# Relative energy among the computed polymorphs = 0 meV per atom
# Formation energy from raw total energies = 6.5 kcal/mol of atoms
# E_tot = -23.17 eV per cell
# Density = 4.99 g/cm3

No. 17
# Ga4AgAu PBE optimized geometry
data_Ga4AgAu
_space_group_name_H-M_alt 'C 1 2/c 1'
_space_group_IT_number 15
_space_group_name_Hall '-C 2yc'
_cell_length_a 9.208
_cell_length_b 10.870
_cell_length_c 5.733
_cell_angle_alpha 90.00
_cell_angle_beta 125.64
_cell_angle_gamma 90.00
loop_
_atom_site_label
_atom_site_fract_x
_atom_site_fract_y
_atom_site_fract_z
Ga1 0.157 0.175 0.076
Ga2 0.174 0.392 0.349
Ag1 0.000 0.382 0.750
Au1 0.000 0.025 0.250
# Spin magnetization = 0.000 μB per formula unit
# Relative energy among the computed polymorphs = 87 meV per atom
# DFT formation energy = -0.014 eV/atom
# E_tot = -73.27 eV per cell
# Density = 8.31 g/cm3

No. 18
# MgZrRe2 PBE optimized geometry
data_MgZrRe2
_space_group_name_H-M_alt 'F -4 3 m'
_space_group_IT_number 216
_space_group_name_Hall 'F -4 2 3'
_cell_length_a 6.476
_cell_length_b 6.476
_cell_length_c 6.476
_cell_angle_alpha 90.00
_cell_angle_beta 90.00
_cell_angle_gamma 90.00
loop_
_atom_site_label
_atom_site_fract_x
_atom_site_fract_y
_atom_site_fract_z
Mg1 0.000 0.000 0.000
Zr1 0.250 0.250 0.250
Re1 0.000 0.000 0.500
Re2 0.250 0.250 0.750
# Spin magnetization = 0.000 μB per formula unit
# DFT formation energy = 0.169 eV/atom
# E_tot = -137.45 eV per cell
# Density = 11.93 g/cm3

No. 19
# La2YNi2 PBE optimized geometry
data_La2YNi2
_space_group_name_H-M_alt 'C m m m'
_space_group_IT_number 65
_space_group_name_Hall '-C 2 2'
_cell_length_a 4.430
_cell_length_b 14.404
_cell_length_c 3.935
_cell_angle_alpha 90.00
_cell_angle_beta 90.00
_cell_angle_gamma 90.00
loop_
_atom_site_label
_atom_site_fract_x
_atom_site_fract_y
_atom_site_fract_z
La1 0.000 0.148 0.000
Y1 0.000 0.500 0.500
Ni1 0.000 0.300 0.500
# Spin magnetization = 0.000 μB per formula unit
# Relative energy among the computed polymorphs = 0 meV per atom
# DFT formation energy = -0.258 eV/atom
# E_tot = -58.34 eV per cell
# Density = 6.40 g/cm3

No. 20
# CuRu2Br PBE optimized geometry
data_CuRu2Br
_space_group_name_H-M_alt 'C m m m'
_space_group_IT_number 65
_space_group_name_Hall '-C 2 2'
_cell_length_a 6.210
_cell_length_b 6.219
_cell_length_c 3.028
_cell_angle_alpha 90.00
_cell_angle_beta 90.00
_cell_angle_gamma 90.00
loop_
_atom_site_label
_atom_site_fract_x
_atom_site_fract_y
_atom_site_fract_z
Cu1 0.000 0.000 0.000
Ru1 0.250 0.250 0.500
Br1 0.000 0.500 0.000
# Spin magnetization = 0.685 μB per formula unit
# Relative energy among the computed polymorphs = 431 meV per atom
# Formation energy from raw total energies = 20.2 kcal/mol of atoms
# E_tot = -41.63 eV per cell
# Density = 9.82 g/cm3